Record 1
# Ba2VRe3O12 PBE with a Hubbard U relaxed
# Symmetry = R-3m, No. 166
data_Ba2VRe3O12
_chemical_formula_sum 'Ba2 V1 Re3 O12'
_symmetry_space_group_name_H-M 'P 1'
_symmetry_Int_Tables_number 1
_cell_length_a 7.208
_cell_length_b 7.208
_cell_length_c 7.208
_cell_angle_alpha 61.34
_cell_angle_beta 61.34
_cell_angle_gamma 61.34
loop_
_symmetry_equiv_pos_as_xyz
'x,y,z'
loop_
_atom_site_label
_atom_site_type_symbol
_atom_site_fract_x
_atom_site_fract_y
_atom_site_fract_z
_atom_site_occupancy
O1 O 0.687 0.687 0.060 1
O2 O 0.927 0.927 0.326 1
O3 O 0.674 0.073 0.073 1
V1 V 0.000 0.000 0.000 1
O4 O 0.073 0.674 0.073 1
O5 O 0.073 0.073 0.674 1
Re1 Re 0.500 0.000 0.000 1
Re2 Re 0.000 0.500 0.000 1
O6 O 0.927 0.326 0.927 1
O7 O 0.687 0.060 0.687 1
O8 O 0.940 0.313 0.313 1
Ba1 Ba 0.334 0.334 0.334 1
O9 O 0.326 0.927 0.927 1
O10 O 0.313 0.313 0.940 1
O11 O 0.313 0.940 0.313 1
O12 O 0.060 0.687 0.687 1
Ba2 Ba 0.666 0.666 0.666 1
Re3 Re 0.000 0.000 0.500 1

***

Record 2
# BaV2ReO8 PBE with a Hubbard U relaxed
# Symmetry = P-3, No. 147
data_BaV2ReO8
_chemical_formula_sum 'Ba1 V2 Re1 O8'
_symmetry_space_group_name_H-M 'P 1'
_symmetry_Int_Tables_number 1
_cell_length_a 5.628
_cell_length_b 5.628
_cell_length_c 7.284
_cell_angle_alpha 90.00
_cell_angle_beta 90.00
_cell_angle_gamma 120.00
loop_
_symmetry_equiv_pos_as_xyz
'x,y,z'
loop_
_atom_site_label
_atom_site_type_symbol
_atom_site_fract_x
_atom_site_fract_y
_atom_site_fract_z
_atom_site_occupancy
O1 O 0.333 0.667 0.971 1
V1 V 0.333 0.667 0.740 1
O2 O 0.680 0.827 0.666 1
O3 O 0.173 0.853 0.666 1
O4 O 0.853 0.680 0.334 1
O5 O 0.667 0.333 0.029 1
V2 V 0.667 0.333 0.260 1
O6 O 0.320 0.173 0.334 1
O7 O 0.827 0.147 0.334 1
O8 O 0.147 0.320 0.666 1
Re1 Re 0.000 0.000 0.500 1
Ba1 Ba 0.000 0.000 0.000 1

***

Record 3
# BaVRe2O8 PBE with a Hubbard U relaxed
# Symmetry = P-3, No. 147
data_BaVRe2O8
_chemical_formula_sum 'Ba1 V1 Re2 O8'
_symmetry_space_group_name_H-M 'P 1'
_symmetry_Int_Tables_number 1
_cell_length_a 5.836
_cell_length_b 5.836
_cell_length_c 7.296
_cell_angle_alpha 90.00
_cell_angle_beta 90.00
_cell_angle_gamma 120.00
loop_
_symmetry_equiv_pos_as_xyz
'x,y,z'
loop_
_atom_site_label
_atom_site_type_symbol
_atom_site_fract_x
_atom_site_fract_y
_atom_site_fract_z
_atom_site_occupancy
O1 O 0.159 0.321 0.683 1
Re1 Re 0.667 0.333 0.250 1
O2 O 0.162 0.841 0.683 1
O3 O 0.333 0.667 0.996 1
Re2 Re 0.333 0.667 0.750 1
O4 O 0.838 0.159 0.317 1
O5 O 0.321 0.162 0.317 1
Ba1 Ba 0.000 0.000 0.000 1
O6 O 0.667 0.333 0.004 1
V1 V 0.000 0.000 0.500 1
O7 O 0.679 0.838 0.683 1
O8 O 0.841 0.679 0.317 1

***

Record 4
# Ba2VReO6 PBE with a Hubbard U relaxed
# Symmetry = R-3m, No. 166
data_Ba2VReO6
_chemical_formula_sum 'Ba4 V2 Re2 O12'
_symmetry_space_group_name_H-M 'P 1'
_symmetry_Int_Tables_number 1
_cell_length_a 5.843
_cell_length_b 5.843
_cell_length_c 10.169
_cell_angle_alpha 73.30
_cell_angle_beta 73.30
_cell_angle_gamma 60.00
loop_
_symmetry_equiv_pos_as_xyz
'x,y,z'
loop_
_atom_site_label
_atom_site_type_symbol
_atom_site_fract_x
_atom_site_fract_y
_atom_site_fract_z
_atom_site_occupancy
O1 O 0.284 0.800 0.116 1
O2 O 0.388 0.388 0.373 1
Ba1 Ba 0.285 0.285 0.145 1
O3 O 0.200 0.716 0.884 1
Re1 Re 0.000 0.000 0.000 1
O4 O 0.148 0.612 0.627 1
O5 O 0.800 0.800 0.116 1
O6 O 0.388 0.852 0.373 1
V1 V 0.592 0.592 0.224 1
O7 O 0.612 0.148 0.627 1
V2 V 0.408 0.408 0.776 1
Re2 Re 0.500 0.500 0.500 1
O8 O 0.612 0.612 0.627 1
Ba2 Ba 0.715 0.715 0.855 1
O9 O 0.200 0.200 0.884 1
O10 O 0.800 0.284 0.116 1
O11 O 0.852 0.388 0.373 1
O12 O 0.716 0.200 0.884 1
Ba3 Ba 0.128 0.128 0.615 1
Ba4 Ba 0.872 0.872 0.385 1

***

Record 5
# Ba2Re3WO12 PBE with a Hubbard U relaxed
# Symmetry = R-3m, No. 166
data_Ba2Re3WO12
_chemical_formula_sum 'Ba2 Re3 W1 O12'
_symmetry_space_group_name_H-M 'P 1'
_symmetry_Int_Tables_number 1
_cell_length_a 7.368
_cell_length_b 7.368
_cell_length_c 7.368
_cell_angle_alpha 59.60
_cell_angle_beta 59.60
_cell_angle_gamma 59.60
loop_
_symmetry_equiv_pos_as_xyz
'x,y,z'
loop_
_atom_site_label
_atom_site_type_symbol
_atom_site_fract_x
_atom_site_fract_y
_atom_site_fract_z
_atom_site_occupancy
O1 O 0.669 0.081 0.081 1
Re1 Re 0.500 0.000 0.000 1
O2 O 0.305 0.305 0.935 1
Re2 Re 0.000 0.000 0.500 1
O3 O 0.081 0.669 0.081 1
Ba1 Ba 0.668 0.668 0.668 1
Re3 Re 0.000 0.500 0.000 1
O4 O 0.695 0.065 0.695 1
O5 O 0.081 0.081 0.669 1
O6 O 0.305 0.935 0.305 1
W1 W 0.000 0.000 0.000 1
O7 O 0.935 0.305 0.305 1
O8 O 0.331 0.919 0.919 1
O9 O 0.695 0.695 0.065 1
O10 O 0.919 0.331 0.919 1
Ba2 Ba 0.332 0.332 0.332 1
O11 O 0.065 0.695 0.695 1
O12 O 0.919 0.919 0.331 1

***

Number 1: spin magnetization 0.25 μB per atom, final energy -7.887 eV per atom. Number 2: spin magnetization 0.25 μB per atom, final energy -7.741 eV per atom. Number 3: spin magnetization 0.42 μB per atom, final energy -7.953 eV per atom. Number 4: spin magnetization 0.22 μB per atom, final energy -7.588 eV per atom. Number 5: spin magnetization 0.14 μB per atom, final energy -7.877 eV per atom.